Model i:
DFT (PBE) results for a relaxed structure of CsAcLu. Values from VASP.

```
&SYSTEM
  ibrav = 0, nat = 3, ntyp = 3
/
ATOMIC_SPECIES
Cs 132.91 Cs.upf
Ac 227.00 Ac.upf
Lu 174.97 Lu.upf
ATOMIC_POSITIONS angstrom
Cs 0.000 0.000 0.000
Ac 4.423 4.423 4.423
Lu 6.635 6.635 6.635
CELL_PARAMETERS angstrom
0.000 4.423 4.423
4.423 0.000 4.423
4.423 4.423 0.000
```

Model ii:
DFT (PBE) results for a relaxed structure of CsAcLu. Values from VASP.

```
&SYSTEM
  ibrav = 0, nat = 3, ntyp = 3
/
ATOMIC_SPECIES
Cs 132.91 Cs.upf
Ac 227.00 Ac.upf
Lu 174.97 Lu.upf
ATOMIC_POSITIONS angstrom
Cs 0.000 0.000 0.000
Ac 6.177 6.177 6.177
Lu 2.059 2.059 2.059
CELL_PARAMETERS angstrom
0.000 4.118 4.118
4.118 0.000 4.118
4.118 4.118 0.000
```

Short version: model ii is the least stable of them.

Model i:
DFT (PBE) results for a relaxed structure of CsAcMo. Values from VASP.

```
&SYSTEM
  ibrav = 0, nat = 3, ntyp = 3
/
ATOMIC_SPECIES
Cs 132.91 Cs.upf
Ac 227.00 Ac.upf
Mo 95.94 Mo.upf
ATOMIC_POSITIONS angstrom
Cs 0.000 0.000 0.000
Ac 3.771 3.771 3.771
Mo 5.656 5.656 5.656
CELL_PARAMETERS angstrom
0.000 3.771 3.771
3.771 0.000 3.771
3.771 3.771 0.000
```

Model ii:
DFT (PBE) results for a relaxed structure of CsAcMo. Values from VASP.

```
&SYSTEM
  ibrav = 0, nat = 3, ntyp = 3
/
ATOMIC_SPECIES
Cs 132.91 Cs.upf
Ac 227.00 Ac.upf
Mo 95.94 Mo.upf
ATOMIC_POSITIONS angstrom
Cs 0.000 0.000 0.000
Ac 5.771 5.771 5.771
Mo 1.924 1.924 1.924
CELL_PARAMETERS angstrom
0.000 3.848 3.848
3.848 0.000 3.848
3.848 3.848 0.000
```

Short version: model ii is the least stable of them.

Model i:
DFT (PBE) results for a relaxed structure of CsAcNi. Values from VASP.

```
&SYSTEM
  ibrav = 0, nat = 3, ntyp = 3
/
ATOMIC_SPECIES
Cs 132.91 Cs.upf
Ac 227.00 Ac.upf
Ni 58.69 Ni.upf
ATOMIC_POSITIONS angstrom
Cs 0.000 0.000 0.000
Ac 3.774 3.774 3.774
Ni 1.887 1.887 1.887
CELL_PARAMETERS angstrom
0.000 3.774 3.774
3.774 0.000 3.774
3.774 3.774 0.000
```

Model ii:
DFT (PBE) results for a relaxed structure of CsAcNi. Values from VASP.

```
&SYSTEM
  ibrav = 0, nat = 3, ntyp = 3
/
ATOMIC_SPECIES
Cs 132.91 Cs.upf
Ac 227.00 Ac.upf
Ni 58.69 Ni.upf
ATOMIC_POSITIONS angstrom
Cs 0.000 0.000 0.000
Ac 5.562 5.562 5.562
Ni 1.854 1.854 1.854
CELL_PARAMETERS angstrom
0.000 3.708 3.708
3.708 0.000 3.708
3.708 3.708 0.000
```

Short version: model ii is the least stable of them.

Model i:
DFT (PBE) results for a relaxed structure of CsAcOs. Values from VASP.

```
&SYSTEM
  ibrav = 0, nat = 3, ntyp = 3
/
ATOMIC_SPECIES
Cs 132.91 Cs.upf
Ac 227.00 Ac.upf
Os 190.23 Os.upf
ATOMIC_POSITIONS angstrom
Cs 0.000 0.000 0.000
Ac 5.446 5.446 5.446
Os 1.815 1.815 1.815
CELL_PARAMETERS angstrom
0.000 3.631 3.631
3.631 0.000 3.631
3.631 3.631 0.000
```

Model ii:
DFT (PBE) results for a relaxed structure of CsAcOs. Values from VASP.

```
&SYSTEM
  ibrav = 0, nat = 3, ntyp = 3
/
ATOMIC_SPECIES
Cs 132.91 Cs.upf
Ac 227.00 Ac.upf
Os 190.23 Os.upf
ATOMIC_POSITIONS angstrom
Cs 0.000 0.000 0.000
Ac 3.700 3.700 3.700
Os 5.550 5.550 5.550
CELL_PARAMETERS angstrom
0.000 3.700 3.700
3.700 0.000 3.700
3.700 3.700 0.000
```

Short version: model i is the least stable of them.

Model i:
DFT (PBE) results for a relaxed structure of CsAcRe. Values from VASP.

```
&SYSTEM
  ibrav = 0, nat = 3, ntyp = 3
/
ATOMIC_SPECIES
Cs 132.91 Cs.upf
Ac 227.00 Ac.upf
Re 186.21 Re.upf
ATOMIC_POSITIONS angstrom
Cs 0.000 0.000 0.000
Ac 5.625 5.625 5.625
Re 1.875 1.875 1.875
CELL_PARAMETERS angstrom
0.000 3.750 3.750
3.750 0.000 3.750
3.750 3.750 0.000
```

Model ii:
DFT (PBE) results for a relaxed structure of CsAcRe. Values from VASP.

```
&SYSTEM
  ibrav = 0, nat = 3, ntyp = 3
/
ATOMIC_SPECIES
Cs 132.91 Cs.upf
Ac 227.00 Ac.upf
Re 186.21 Re.upf
ATOMIC_POSITIONS angstrom
Cs 0.000 0.000 0.000
Ac 3.747 3.747 3.747
Re 1.874 1.874 1.874
CELL_PARAMETERS angstrom
0.000 3.747 3.747
3.747 0.000 3.747
3.747 3.747 0.000
```

Short version: model i is the least stable of them.

Model i:
DFT (PBE) results for a relaxed structure of CsAcTh. Values from VASP.

```
&SYSTEM
  ibrav = 0, nat = 6, ntyp = 3
/
ATOMIC_SPECIES
Cs 132.91 Cs.upf
Ac 227.00 Ac.upf
Th 232.04 Th.upf
ATOMIC_POSITIONS angstrom
Cs 3.571 5.363 3.038
Cs 3.571 -5.363 0.000
Ac 3.571 2.845 6.069
Ac 3.571 -2.845 3.032
Th 3.571 0.707 3.028
Th 3.571 -0.707 6.065
CELL_PARAMETERS angstrom
3.571 -6.405 0.000
3.571 6.405 0.000
0.000 0.000 6.075
```

Model ii:
DFT (PBE) results for a relaxed structure of CsAcTh. Values from VASP.

```
&SYSTEM
  ibrav = 0, nat = 3, ntyp = 3
/
ATOMIC_SPECIES
Cs 132.91 Cs.upf
Ac 227.00 Ac.upf
Th 232.04 Th.upf
ATOMIC_POSITIONS angstrom
Cs 0.000 0.000 0.000
Ac 2.037 2.037 2.037
Th 6.111 6.111 6.111
CELL_PARAMETERS angstrom
0.000 4.074 4.074
4.074 0.000 4.074
4.074 4.074 0.000
```

Short version: model ii is the least stable of them.